Density functional theory data (GGA+U) for a relaxed structure of Ti2VF.

CIF file:
```
data_Ti2VF
_chemical_formula_sum 'Ti4 V2 F2'
_cell_length_a 5.478
_cell_length_b 5.478
_cell_length_c 5.478
_cell_angle_alpha 106.43
_cell_angle_beta 106.43
_cell_angle_gamma 115.75
_symmetry_space_group_name_H-M 'P 1'
_symmetry_Int_Tables_number 1
loop_
_symmetry_equiv_pos_as_xyz
'x,y,z'
loop_
_atom_site_label
_atom_site_fract_x
_atom_site_fract_y
_atom_site_fract_z
Ti1 0.038 0.625 0.913
Ti2 0.375 0.288 0.413
Ti3 0.712 0.125 0.087
Ti4 0.875 0.962 0.587
V1 0.250 0.750 0.500
V2 0.500 0.500 0.000
F1 0.000 0.000 0.000
F2 0.750 0.250 0.500
```

Calculated values
SG = No. 122
VASP energy = -6.4686 eV/atom
polymorph energy (0 for the lowest one) = 0.000 eV/atom
M_tot = 2.64 μB/f.u.
crystal system = tetragonal